# ErTmSnRu

A geometry-optimized ErTmSnRu structure (PBE-GGA, the Alexandria database).

Cell and atoms, written as CIF:
```
data_ErTmSnRu
_chemical_formula_sum 'Er1 Tm1 Sn1 Ru1'
_cell_length_a 3.361
_cell_length_b 3.361
_cell_length_c 8.065
_cell_angle_alpha 90.00
_cell_angle_beta 90.00
_cell_angle_gamma 90.00
_symmetry_space_group_name_H-M 'P 4 m m'
_symmetry_Int_Tables_number 99
_symmetry_space_group_name_Hall 'P 4 -2'
loop_
_atom_site_label
_atom_site_type_symbol
_atom_site_fract_x
_atom_site_fract_y
_atom_site_fract_z
Er1 Er 0.000 0.000 0.000
Tm1 Tm 0.000 0.000 0.589
Sn1 Sn 0.500 0.500 0.296
Ru1 Ru 0.500 0.500 0.793
```

Calculated values
DOS at the Fermi energy	1.2	states/eV/f.u.
DFT formation energy	-590	meV/atom
crystal system	tetragonal
total magnetization	0.00	μB per cell
DFT total energy	-6.17	eV/atom